The following is a DFT calculation (SCAN) of a PBEsol-optimized structure of Ca2MnSb.

Output
DOS at the Fermi energy = 3.3 states/eV/cell
raw formation energy = -1.61 eV/f.u.
electronic total energy = -19.11 eV per atom

a = 3.964 Å, b = 3.964 Å, c = 6.536 Å
α = 90.00°, β = 90.00°, γ = 90.00°
Last column: magnetic moment on the atom in μB.
Element x y z (fractional)
Mn1 0.500 0.500 0.000  4.28
Sb1 0.500 0.500 0.500  -0.11
Ca1 0.000 0.000 0.255  -0.04
Ca2 0.000 0.000 0.745  -0.04